A PBEsol-optimized structure of LaNiWF2, computed with SCAN.

## Properties
spin magnetization = 3.2 μB/f.u.
formation energy from raw total energies = -0.513 eV/atom
calculated volume = 119.3 Å³/cell
VASP energy = -27.722 eV/atom

Cell: 4.276 4.276 6.525 Å, 90.00 90.00 90.00°
Each line ends with the local moment (μB).
Positions (direct):
1 La 0.000 0.000 0.000  0.06
2 F 0.000 0.500 0.000  0.01
3 F 0.500 0.000 0.000  0.01
4 Ni 0.500 0.500 0.500  -0.87
5 W 0.000 0.000 0.500  2.70



A PBEsol-optimized structure of La2OF, computed with SCAN.

## Properties
spin magnetization = 2.8 μB/f.u.
formation energy from raw total energies = -2.811 eV/atom
calculated volume = 184.0 Å³/cell
VASP energy = -26.806 eV/atom

Cell: 5.712 5.712 6.936 Å, 114.31 114.31 90.00°
Each line ends with the local moment (μB).
Positions (direct):
1 F 0.250 0.750 0.500  0.06
2 La 0.851 0.375 0.250  0.46
3 O 0.750 0.250 0.500  0.07
4 F 0.000 0.000 0.000  0.06
5 La 0.399 0.875 0.250  0.46
6 La 0.125 0.149 0.750  0.46
7 La 0.625 0.601 0.750  0.46
8 O 0.500 0.500 0.000  0.07